First-principles (PBE) data for CrIr3Rh after structural relaxation, as listed in Alexandria. Values from VASP.

Computed properties:
Formation energy: 412 meV per atom
V: 162.5 Å³/cell
Total moment: 2.95 μB/f.u.
Uncorrected energy: -83.0 eV for the cell shown
SG: Cmcm (63)
Mass density: 15.0 g cm⁻³

Cell and atoms, written as Quantum ESPRESSO input:
```
&SYSTEM
  ibrav = 0, nat = 10, ntyp = 3
/
ATOMIC_SPECIES
Cr 52.00 Cr.upf
Ir 192.22 Ir.upf
Rh 102.91 Rh.upf
CELL_PARAMETERS angstrom
2.4902 -6.5972 0.0000
2.4902 6.5972 0.0000
0.0000 0.0000 4.9449
ATOMIC_POSITIONS crystal
Cr 0.0623 0.9377 0.7500
Cr 0.9377 0.0623 0.2500
Ir 0.0959 0.3934 0.7500
Ir 0.3934 0.0959 0.2500
Ir 0.5000 0.5000 0.0000
Ir 0.5000 0.5000 0.5000
Ir 0.6066 0.9041 0.7500
Ir 0.9041 0.6066 0.2500
Rh 0.3232 0.6768 0.2500
Rh 0.6768 0.3232 0.7500
```